DFT (GGA-PBE) results for a relaxed structure of AlPd14Pt.

Values from the calculation:
Density of states at the Fermi level, states/eV/cell: 32.6
Formation enthalpy at 0 K, meV/atom: -152

Cell lengths 5.5582, 5.5582, 9.1329 Å; angles 90.00, 90.00, 119.83 degrees
Last column: nearest neighbours and their distance in Å.
Atoms (fractional coordinates):
Pd (0.7068, 0.2932, 0.0000)  12 Pd 2.77-2.82
Pd (0.8753, 0.1247, 0.7512)  11 Pd 2.78-2.79, 1 Pt 2.80
Pd (0.3765, 0.6235, 0.7465)  11 Pd 2.75-2.83, 1 Al 2.75
Pd (0.3767, 0.1287, 0.2554)  1 Al 2.74, 10 Pd 2.75-2.84, 1 Pt 2.76
Pd (0.7067, 0.7919, 0.0000)  12 Pd 2.77-2.83
Pd (0.2081, 0.2933, 0.0000)  12 Pd 2.77-2.83
Pd (0.3767, 0.1287, 0.7446)  1 Al 2.74, 10 Pd 2.75-2.84, 1 Pt 2.76
Pd (0.0431, 0.4544, 0.5000)  2 Pt 2.76-2.80, 2 Al 2.76-2.80, 8 Pd 2.77-2.80
Pd (0.8753, 0.1247, 0.2488)  11 Pd 2.78-2.79, 1 Pt 2.80
Pd (0.8713, 0.6233, 0.7446)  1 Al 2.74, 10 Pd 2.75-2.84, 1 Pt 2.76
Pd (0.5456, 0.9569, 0.5000)  2 Pt 2.76-2.80, 2 Al 2.76-2.80, 8 Pd 2.77-2.80
Pd (0.3765, 0.6235, 0.2535)  11 Pd 2.75-2.83, 1 Al 2.75
Pd (0.8713, 0.6233, 0.2554)  1 Al 2.74, 10 Pd 2.75-2.84, 1 Pt 2.76
Pd (0.2067, 0.7933, 0.0000)  12 Pd 2.78-2.84
Al (0.5415, 0.4585, 0.5000)  10 Pd 2.74-2.80, 2 Pt 2.79
Pt (0.0419, 0.9581, 0.5000)  10 Pd 2.76-2.80, 2 Al 2.79